Record 1
A plane-wave DFT calculation with PBE-GGA was carried out for crystalline La2Mg16Ru at its relaxed geometry.

Cell lengths 7.7644, 7.7644, 7.7644 Å; angles 83.43, 83.43, 83.43 degrees
Last column: nearest neighbours and their distance in Å.
Element x y z (fractional)
La (0.7005, 0.7005, 0.7005)  1 Ru 2.61
La (0.3339, 0.3339, 0.3339)  19 Mg 3.65-3.99
Mg (0.7036, 0.0005, 0.2957)  9 Mg 2.90-3.23
Mg (0.0005, 0.2957, 0.7036)  9 Mg 2.90-3.23
Mg (0.2957, 0.7036, 0.0005)  9 Mg 2.90-3.23
Mg (0.0005, 0.7036, 0.2957)  9 Mg 2.90-3.23
Mg (0.7036, 0.2957, 0.0005)  9 Mg 2.90-3.23
Mg (0.2957, 0.0005, 0.7036)  9 Mg 2.90-3.23
Mg (0.3515, 0.8432, 0.3515)  8 Mg 3.00-3.14
Mg (0.8432, 0.3515, 0.3515)  8 Mg 3.00-3.14
Mg (0.3515, 0.3515, 0.8432)  8 Mg 3.00-3.14
Mg (0.6582, 0.1514, 0.6582)  8 Mg 2.93-3.14, 1 Ru 3.05
Mg (0.1514, 0.6582, 0.6582)  8 Mg 2.93-3.14, 1 Ru 3.05
Mg (0.6582, 0.6582, 0.1514)  8 Mg 2.93-3.14, 1 Ru 3.05
Mg (0.9975, 0.5115, 0.9975)  8 Mg 2.90-3.06, 1 Ru 2.96
Mg (0.5115, 0.9975, 0.9975)  8 Mg 2.90-3.06, 1 Ru 2.96
Mg (0.9975, 0.9975, 0.5115)  8 Mg 2.90-3.06, 1 Ru 2.96
Mg (0.0703, 0.0703, 0.0703)  1 Ru 2.91, 6 Mg 3.23
Ru (0.8753, 0.8753, 0.8753)  1 La 2.61, 1 Mg 2.91

Its calculated formation energy is -0.04 eV/atom. The calculation puts the total energy at -45.39 eV/cell. The calculation puts the size of the total moment at 0.00 μB per formula unit.

Record 2
A plane-wave DFT calculation with PBE-GGA was carried out for crystalline Pa3Sb2Te2 at its relaxed geometry.

Cell lengths 8.3887, 7.6878, 8.4200 Å; angles 90.00, 61.20, 90.00 degrees
Last column: nearest neighbours and their distance in Å.
Element x y z (fractional)
Pa (0.5000, 0.5000, 0.0000)  4 Sb 3.10-3.12, 2 Te 3.11
Pa (0.0000, 0.0000, 0.0000)  4 Sb 3.10-3.12, 2 Te 3.11
Pa (0.7382, 0.0103, 0.7614)  3 Sb 3.08-3.12, 3 Te 3.12-3.13
Pa (0.7618, 0.5103, 0.2386)  3 Sb 3.08-3.12, 3 Te 3.12-3.13
Pa (0.2382, 0.4897, 0.7614)  3 Sb 3.08-3.12, 3 Te 3.12-3.13
Pa (0.2618, 0.9897, 0.2386)  3 Sb 3.08-3.12, 3 Te 3.12-3.13
Sb (0.8752, 0.6781, 0.8621)  5 Pa 3.08-3.12
Sb (0.3752, 0.8219, 0.8621)  5 Pa 3.08-3.12
Sb (0.6248, 0.1781, 0.1379)  5 Pa 3.08-3.12
Sb (0.1248, 0.3219, 0.1379)  5 Pa 3.08-3.12
Te (0.6299, 0.3392, 0.6181)  4 Pa 3.11-3.13
Te (0.8701, 0.8392, 0.3819)  4 Pa 3.11-3.13
Te (0.1299, 0.1608, 0.6181)  4 Pa 3.11-3.13
Te (0.3701, 0.6608, 0.3819)  4 Pa 3.11-3.13

For the raw formation energy, the calculation gives -0.4402 eV per atom. The calculation puts the total energy at -92.19 eV/cell. The calculation puts the size of the total moment at 3.33 μB per formula unit.

Record 3
A plane-wave DFT calculation with PBE-GGA was carried out for crystalline V3Ru2W at its relaxed geometry.

Cell lengths 4.2914, 6.7827, 6.0761 Å; angles 90.00, 90.00, 71.56 degrees
Last column: nearest neighbours and their distance in Å.
Element x y z (fractional)
V (0.8324, 0.3352, 0.7520)  3 W 2.62, 5 Ru 2.63-2.65
V (0.5000, 0.0000, 0.2482)  2 W 2.61, 6 Ru 2.62-2.64
V (0.1676, 0.6648, 0.2480)  3 W 2.62, 5 Ru 2.63-2.65
V (0.8324, 0.3352, 0.2480)  3 W 2.62, 5 Ru 2.63-2.65
V (0.1676, 0.6648, 0.7520)  3 W 2.62, 5 Ru 2.63-2.65
V (0.5000, 0.0000, 0.7518)  2 W 2.61, 6 Ru 2.62-2.64
Ru (0.0000, 0.0000, 0.0000)  8 V 2.62-2.63
Ru (0.0000, 0.0000, 0.5000)  8 V 2.64-2.65
Ru (0.3339, 0.3323, 0.5000)  8 V 2.63-2.64
Ru (0.6661, 0.6677, 0.5000)  8 V 2.63-2.64
W (0.3345, 0.3310, 0.0000)  8 V 2.61-2.62
W (0.6655, 0.6690, 0.0000)  8 V 2.61-2.62

Its calculated formation energy is -0.24 eV/atom. The calculation puts the total energy at -120.55 eV/cell. The calculation puts the size of the total moment at 0.00 μB per formula unit.

Record 4
A plane-wave DFT calculation with PBE-GGA was carried out for crystalline Sm8Te2Os at its relaxed geometry.

Cell lengths 4.4964, 7.9489, 9.7676 Å; angles 96.87, 103.31, 90.00 degrees
Last column: nearest neighbours and their distance in Å.
Element x y z (fractional)
Sm (0.4061, 0.4864, 0.8122)  2 Te 3.30, 7 Sm 3.52-3.69
Sm (0.6454, 0.0290, 0.2909)  1 Os 2.75
Sm (0.7881, 0.6460, 0.5762)  3 Te 3.21-3.33, 6 Sm 3.42-3.54
Sm (0.9981, 0.2173, 0.9963)  2 Os 2.84
Sm (0.2119, 0.3540, 0.4238)  3 Te 3.21-3.33, 6 Sm 3.42-3.54
Sm (0.3546, 0.9710, 0.7091)  1 Os 2.75
Sm (0.5939, 0.5136, 0.1878)  2 Te 3.30, 7 Sm 3.52-3.69
Sm (0.0019, 0.7827, 0.0037)  2 Os 2.84
Te (0.8174, 0.2417, 0.6348)  9 Sm 3.21-3.49
Te (0.1826, 0.7583, 0.3652)  9 Sm 3.21-3.49
Os (0.5000, 0.0000, 0.0000)  6 Sm 2.75-2.84

For the raw formation energy, the calculation gives -0.4616 eV per atom. The calculation puts the total energy at -60.34 eV/cell. The calculation puts the size of the total moment at 0.00 μB per formula unit.

Record 5
A plane-wave DFT calculation with PBE-GGA was carried out for crystalline Ta2MnReN at its relaxed geometry.

Cell lengths 4.2169, 4.0409, 4.2169 Å; angles 90.00, 90.00, 90.00 degrees
Last column: nearest neighbours and their distance in Å.
Element x y z (fractional)
Re (0.0000, 0.5000, 0.0000)  2 N 2.02
N (0.0000, 0.0000, 0.0000)  2 Re 2.02, 4 Ta 2.11
Mn (0.5000, 0.5000, 0.5000)  8 Ta 2.92, 4 Re 2.98
Ta (0.0000, 0.0000, 0.5000)  2 N 2.11
Ta (0.5000, 0.0000, 0.0000)  2 N 2.11

For the raw formation energy, the calculation gives -0.1946 eV per atom. The calculation puts the total energy at -54.62 eV/cell. The calculation puts the size of the total moment at 2.69 μB per formula unit.

Record 6
A plane-wave DFT calculation with PBE-GGA was carried out for crystalline TmPuGa at its relaxed geometry.

Cell lengths 3.5426, 3.5426, 6.4227 Å; angles 106.01, 106.01, 90.00 degrees
Last column: nearest neighbours and their distance in Å.
Element x y z (fractional)
Tm (0.6379, 0.6379, 0.2757)  4 Ga 3.01
Ga (0.2793, 0.2793, 0.5586)  4 Tm 3.01, 4 Pu 3.09
Pu (0.9329, 0.9329, 0.8657)  4 Ga 3.09

Its calculated formation energy is -0.22 eV/atom. The calculation puts the total energy at -22.49 eV/cell. The calculation puts the size of the total moment at 6.37 μB per formula unit.

Record 7
A plane-wave DFT calculation with PBE-GGA was carried out for crystalline Sc2Tc at its relaxed geometry.

Cell lengths 3.3649, 7.2154, 4.9913 Å; angles 90.00, 90.00, 76.52 degrees
Last column: nearest neighbours and their distance in Å.
Element x y z (fractional)
Sc (0.0564, 0.8872, 0.0000)  2 Tc 2.60
Sc (0.2076, 0.5849, 0.5000)  6 Tc 2.69-3.01
Sc (0.3480, 0.3040, 0.0000)  6 Tc 2.69-3.01
Sc (0.4991, 0.0017, 0.5000)  2 Tc 2.60
Tc (0.6981, 0.6038, 0.0000)  4 Sc 2.60-2.69
Tc (0.8575, 0.2851, 0.5000)  4 Sc 2.60-2.69

Its calculated formation energy is -0.12 eV/atom. The calculation puts the total energy at -46.80 eV/cell. The calculation puts the size of the total moment at 0.00 μB per formula unit.

Record 8
A plane-wave DFT calculation with PBE-GGA was carried out for crystalline UVC2 at its relaxed geometry.

Cell lengths 3.1369, 3.1369, 5.7339 Å; angles 74.13, 74.13, 60.00 degrees
Last column: nearest neighbours and their distance in Å.
Element x y z (fractional)
C (0.2632, 0.2632, 0.2104)  3 V 2.14
C (0.7368, 0.7368, 0.7896)  3 V 2.14
U (0.5000, 0.5000, 0.5000)  6 C 2.40
V (0.0000, 0.0000, 0.0000)  6 C 2.14

Its calculated formation energy is -0.27 eV/atom. The calculation puts the total energy at -39.94 eV/cell. The calculation puts the size of the total moment at 0.00 μB per formula unit.

Record 9
A plane-wave DFT calculation with PBE-GGA was carried out for crystalline AcZn9Cu2 at its relaxed geometry.

Cell lengths 3.8363, 8.0047, 8.0047 Å; angles 120.00, 90.00, 90.00 degrees
Last column: nearest neighbours and their distance in Å.
Element x y z (fractional)
Ac (0.0000, 0.0000, 0.0000)  12 Zn 3.44, 2 Ac 3.84
Zn (0.5000, 0.7943, 0.2057)  2 Cu 2.61, 6 Zn 2.84-2.85
Zn (0.0000, 0.0000, 0.5000)  2 Cu 2.31
Zn (0.0000, 0.5000, 0.5000)  2 Cu 2.31
Zn (0.5000, 0.7943, 0.5887)  2 Cu 2.61, 6 Zn 2.84-2.85
Zn (0.5000, 0.2057, 0.7943)  2 Cu 2.61, 6 Zn 2.84-2.85
Zn (0.5000, 0.5887, 0.7943)  2 Cu 2.61, 6 Zn 2.84-2.85
Zn (0.5000, 0.2057, 0.4113)  2 Cu 2.61, 6 Zn 2.84-2.85
Zn (0.0000, 0.5000, 0.0000)  2 Cu 2.31
Zn (0.5000, 0.4113, 0.2057)  2 Cu 2.61, 6 Zn 2.84-2.85
Cu (0.0000, 0.6667, 0.3333)  3 Zn 2.31
Cu (0.0000, 0.3333, 0.6667)  3 Zn 2.31

Its calculated formation energy is -0.10 eV/atom. The calculation puts the total energy at -25.00 eV/cell. The calculation puts the size of the total moment at 0.00 μB per formula unit.

Record 10
A plane-wave DFT calculation with PBE-GGA was carried out for crystalline La5P4 at its relaxed geometry.

Cell lengths 7.3305, 7.3305, 7.3305 Å; angles 97.94, 97.94, 136.38 degrees
Last column: nearest neighbours and their distance in Å.
Element x y z (fractional)
La (0.0000, 0.0000, 0.0000)  4 P 2.83
La (0.6911, 0.3089, 0.0000)  2 P 2.98, 2 La 3.16
La (0.3089, 0.6911, 0.0000)  2 P 2.98, 2 La 3.16
La (0.3089, 0.3089, 0.6178)  2 P 2.98, 2 La 3.16
La (0.6911, 0.6911, 0.3822)  2 P 2.98, 2 La 3.16
P (0.7055, 0.0000, 0.7055)  3 La 2.83-2.98
P (0.2945, 0.0000, 0.2945)  3 La 2.83-2.98
P (0.0000, 0.2945, 0.2945)  3 La 2.83-2.98
P (0.0000, 0.7055, 0.7055)  3 La 2.83-2.98

Its calculated formation energy is -0.65 eV/atom. The calculation puts the total energy at -52.12 eV/cell. The calculation puts the size of the total moment at 0.00 μB per formula unit.